Record 1
{
  "formula": "BaAlCr2",
  "functional": "PBEsol",
  "state": "optimized geometry",
  "magnetic_moment_mub_per_atom": 0.00,
  "formation_energy_ev_per_atom": 0.679,
  "sg": "P2/m, No. 10",
  "crystal_system": "monoclinic",
  "n_ef_per_ev_fu": 4.425,
  "relative_energy_ev_per_fu": 0.17,
  "energy_ev_per_cell": -24.0,
  "lattice_angstrom": [[3.0116, 0.0000, 0.0000], [0.0000, 4.5411, 0.0000], [-0.8783, 0.0000, 6.3214]],
  "species": ["Ba", "Al", "Cr", "Cr"],
  "frac_coords": [[0.0000, 0.0000, 0.0000], [0.5000, 0.0000, 0.5000], [0.2760, 0.5000, 0.6182], [0.7240, 0.5000, 0.3818]]
}

---

Record 2
{
  "formula": "Ba2AlCr",
  "functional": "PBEsol",
  "state": "optimized geometry",
  "magnetic_moment_mub_per_atom": 1.04,
  "formation_energy_ev_per_atom": 0.384,
  "sg": "Amm2, No. 38",
  "crystal_system": "orthorhombic",
  "n_ef_per_ev_fu": 4.517,
  "energy_ev_per_cell": -17.1,
  "lattice_angstrom": [[4.6816, 0.0000, 0.0000], [0.0000, 2.5828, 5.9525], [0.0000, -2.5828, 5.9525]],
  "species": ["Ba", "Ba", "Al", "Cr"],
  "frac_coords": [[0.0000, 0.0000, 0.0000], [0.5000, 0.2931, 0.2931], [0.5000, 0.5956, 0.5956], [0.0000, 0.6943, 0.6943]]
}

---

Record 3
{
  "formula": "BaAl2Cr",
  "functional": "PBEsol",
  "state": "optimized geometry",
  "magnetic_moment_mub_per_atom": 1.15,
  "formation_energy_ev_per_atom": 0.493,
  "sg": "F-43m, No. 216",
  "crystal_system": "cubic",
  "n_ef_per_ev_fu": 1.873,
  "energy_ev_per_cell": -18.6,
  "lattice_angstrom": [[0.0000, 3.5776, 3.5776], [3.5776, 0.0000, 3.5776], [3.5776, 3.5776, 0.0000]],
  "species": ["Ba", "Al", "Al", "Cr"],
  "frac_coords": [[0.0000, 0.0000, 0.0000], [0.2500, 0.2500, 0.2500], [0.5000, 0.5000, 0.5000], [0.7500, 0.7500, 0.7500]]
}

---

Record 4
{
  "formula": "BaAlCr2",
  "functional": "PBEsol",
  "state": "optimized geometry",
  "magnetic_moment_mub_per_atom": 0.00,
  "formation_energy_ev_per_atom": 0.636,
  "sg": "C2/m, No. 12",
  "crystal_system": "monoclinic",
  "n_ef_per_ev_fu": 4.421,
  "relative_energy_ev_per_fu": 0.00,
  "energy_ev_per_cell": -24.2,
  "lattice_angstrom": [[4.5476, -1.5150, 0.0000], [4.5476, 1.5150, 0.0000], [-0.6408, 0.0000, 6.1503]],
  "species": ["Ba", "Al", "Cr", "Cr"],
  "frac_coords": [[0.0000, 0.0000, 0.0000], [0.5000, 0.5000, 0.5000], [0.2319, 0.2319, 0.6149], [0.7681, 0.7681, 0.3851]]
}

---

Record 5
{
  "formula": "BaAlCr2Ge",
  "functional": "PBEsol",
  "state": "optimized geometry",
  "magnetic_moment_mub_per_atom": 1.32,
  "formation_energy_ev_per_atom": 1.181,
  "sg": "P4/mmm, No. 123",
  "crystal_system": "tetragonal",
  "n_ef_per_ev_fu": 5.062,
  "energy_ev_per_cell": -25.8,
  "lattice_angstrom": [[4.8477, 0.0000, 0.0000], [0.0000, 4.8477, 0.0000], [0.0000, 0.0000, 5.8879]],
  "species": ["Ba", "Al", "Cr", "Cr", "Ge"],
  "frac_coords": [[0.0000, 0.0000, 0.0000], [0.0000, 0.0000, 0.5000], [0.0000, 0.5000, 0.5000], [0.5000, 0.0000, 0.5000], [0.5000, 0.5000, 0.0000]]
}

---

Record 6
{
  "formula": "BaAl2CrIr",
  "functional": "PBEsol",
  "state": "optimized geometry",
  "magnetic_moment_mub_per_atom": 0.83,
  "formation_energy_ev_per_atom": 1.200,
  "sg": "P4/mmm, No. 123",
  "crystal_system": "tetragonal",
  "n_ef_per_ev_fu": 4.928,
  "energy_ev_per_cell": -24.4,
  "lattice_angstrom": [[4.7230, 0.0000, 0.0000], [0.0000, 4.7230, 0.0000], [0.0000, 0.0000, 5.4182]],
  "species": ["Ba", "Al", "Al", "Cr", "Ir"],
  "frac_coords": [[0.0000, 0.0000, 0.0000], [0.0000, 0.5000, 0.5000], [0.5000, 0.0000, 0.5000], [0.0000, 0.0000, 0.5000], [0.5000, 0.5000, 0.0000]]
}

---

Record 7
{
  "formula": "Cs2BaAlOs",
  "functional": "PBEsol",
  "state": "optimized geometry",
  "magnetic_moment_mub_per_atom": 0.51,
  "formation_energy_ev_per_atom": 2.126,
  "sg": "P4/mmm, No. 123",
  "crystal_system": "tetragonal",
  "n_ef_per_ev_fu": 8.472,
  "energy_ev_per_cell": -9.7,
  "lattice_angstrom": [[6.8230, 0.0000, 0.0000], [0.0000, 6.8230, 0.0000], [0.0000, 0.0000, 5.7093]],
  "species": ["Cs", "Cs", "Ba", "Al", "Os"],
  "frac_coords": [[0.0000, 0.5000, 0.0000], [0.5000, 0.0000, 0.0000], [0.0000, 0.0000, 0.0000], [0.0000, 0.0000, 0.5000], [0.5000, 0.5000, 0.5000]]
}

---

Record 8
{
  "formula": "BaAl2Cu",
  "functional": "PBEsol",
  "state": "optimized geometry",
  "magnetic_moment_mub_per_atom": 0.00,
  "formation_energy_ev_per_atom": -0.190,
  "sg": "R3m, No. 160",
  "crystal_system": "trigonal",
  "n_ef_per_ev_fu": 3.064,
  "energy_ev_per_cell": -15.4,
  "lattice_angstrom": [[2.1489, 1.2406, 6.0467], [-2.1489, 1.2406, 6.0467], [0.0000, -2.4813, 6.0467]],
  "species": ["Ba", "Al", "Al", "Cu"],
  "frac_coords": [[0.0000, 0.0000, 0.0000], [0.1973, 0.1973, 0.1973], [0.4752, 0.4752, 0.4752], [0.8188, 0.8188, 0.8188]]
}

---

Record 9
{
  "formula": "BaAlCu2",
  "functional": "PBEsol",
  "state": "optimized geometry",
  "magnetic_moment_mub_per_atom": 0.00,
  "formation_energy_ev_per_atom": -0.113,
  "sg": "Cm, No. 8",
  "crystal_system": "monoclinic",
  "n_ef_per_ev_fu": 2.459,
  "energy_ev_per_cell": -15.4,
  "lattice_angstrom": [[3.6922, -2.1218, 0.0000], [3.6922, 2.1218, 0.0000], [-1.5058, 0.0000, 5.8158]],
  "species": ["Ba", "Al", "Cu", "Cu"],
  "frac_coords": [[0.0000, 0.0000, 0.0000], [0.7746, 0.7746, 0.4457], [0.1343, 0.1343, 0.5451], [0.4545, 0.4545, 0.4960]]
}

---

Record 10
{
  "formula": "BaAl2Cu",
  "functional": "PBEsol",
  "state": "optimized geometry",
  "magnetic_moment_mub_per_atom": 0.00,
  "formation_energy_ev_per_atom": -0.012,
  "sg": "P4/mmm, No. 123",
  "crystal_system": "tetragonal",
  "n_ef_per_ev_fu": 2.072,
  "energy_ev_per_cell": -14.7,
  "lattice_angstrom": [[3.1864, 0.0000, 0.0000], [0.0000, 3.1864, 0.0000], [0.0000, 0.0000, 8.0917]],
  "species": ["Ba", "Al", "Al", "Cu"],
  "frac_coords": [[0.0000, 0.0000, 0.0000], [0.5000, 0.5000, 0.3282], [0.5000, 0.5000, 0.6718], [0.0000, 0.0000, 0.5000]]
}

---

Record 11
{
  "formula": "BaAl2Cu",
  "functional": "PBEsol",
  "state": "optimized geometry",
  "magnetic_moment_mub_per_atom": 0.00,
  "formation_energy_ev_per_atom": -0.190,
  "sg": "R-3m, No. 166",
  "crystal_system": "trigonal",
  "n_ef_per_ev_fu": 3.065,
  "energy_ev_per_cell": -15.4,
  "lattice_angstrom": [[2.1210, 1.2246, 6.1421], [-2.1210, 1.2246, 6.1421], [0.0000, -2.4491, 6.1421]],
  "species": ["Ba", "Al", "Al", "Cu"],
  "frac_coords": [[0.0000, 0.0000, 0.0000], [0.1975, 0.1975, 0.1975], [0.8025, 0.8025, 0.8025], [0.5000, 0.5000, 0.5000]]
}

---

Record 12
{
  "formula": "BaAl2Cu2",
  "functional": "PBEsol",
  "state": "optimized geometry",
  "magnetic_moment_mub_per_atom": 0.00,
  "formation_energy_ev_per_atom": -0.141,
  "sg": "I4/mmm, No. 139",
  "crystal_system": "tetragonal",
  "n_ef_per_ev_fu": 3.155,
  "energy_ev_per_cell": -19.7,
  "lattice_angstrom": [[-2.0975, 2.0975, 5.8508], [2.0975, -2.0975, 5.8508], [2.0975, 2.0975, -5.8508]],
  "species": ["Ba", "Al", "Al", "Cu", "Cu"],
  "frac_coords": [[0.0000, 0.0000, 0.0000], [0.2500, 0.7500, 0.5000], [0.7500, 0.2500, 0.5000], [0.3657, 0.3657, 0.0000], [0.6343, 0.6343, 0.0000]]
}